Computed, not measured: crystalline Nd6Ge2N at its relaxed geometry at the GGA-PBE level of DFT.

Cell: 6.6988 6.6988 12.2964 Å, 90.00 90.00 90.00°
Fractional positions:
Nd: 0.3075 0.3075 0.3557
Nd: 0.6925 0.6925 0.3557
Nd: 0.1925 0.8075 0.8557
Nd: 0.8075 0.1925 0.8557
Nd: 0.1925 0.8075 0.1443
Nd: 0.8075 0.1925 0.1443
Nd: 0.3075 0.3075 0.6443
Nd: 0.6925 0.6925 0.6443
Nd: 0.2754 0.2754 0.0000
Nd: 0.7246 0.7246 0.0000
Nd: 0.2246 0.7754 0.5000
Nd: 0.7754 0.2246 0.5000
Ge: 0.0000 0.0000 0.3307
Ge: 0.5000 0.5000 0.8307
Ge: 0.5000 0.5000 0.1693
Ge: 0.0000 0.0000 0.6693
N: 0.0000 0.0000 0.0000
N: 0.5000 0.5000 0.5000

Calculated values
* space group: P4_2/mnm
* uncorrected formation energy: -0.513 eV per atom
* D(E_F): 11.7 states/eV/f.u.